# ScPWCl2

ScPWCl2 at its PBEsol-relaxed geometry (meta-GGA SCAN, the Alexandria database).

## Properties
- Formation energy (no corrections): 0.22 eV/atom

Unit cell a=4.612 b=4.612 c=5.425 alpha=90.00 beta=90.00 gamma=90.00
Element x y z (fractional)
Cl1 0.000 0.500 0.000
Cl2 0.500 0.000 0.000
Sc1 0.000 0.000 0.000
P1 0.000 0.000 0.500
W1 0.500 0.500 0.500